CoSbPbI2 | Alexandria | meta-GGA SCAN | single point on PBEsol structure; D(E_F) = 2.684 states/eV per cell; total moment = 1.2 μB per formula unit; energy relative to the elements, uncorrected = 263 meV/atom
1.0
4.8640 0.0000 0.0000
0.0000 5.2472 0.0000
0.0000 0.0000 5.2472
Co I Pb Sb
1 2 1 1
Direct
0.0000 0.0000 0.0000
0.0000 0.5000 0.0000
0.0000 0.0000 0.5000
0.5000 0.5000 0.5000
0.5000 0.0000 0.0000